Cs2SrFeI6 | PBE-GGA | relaxed

## Properties
- Crystal system: cubic
- Formation energy (no corrections): -106.92 kJ/mol of atoms
- SG: No. 225

Geometry as POSCAR:
```
Cs2SrFeI6
1.0
0.0000 6.0936 6.0936
6.0936 0.0000 6.0936
6.0936 6.0936 0.0000
Cs Sr Fe I
2 1 1 6
Direct
0.2500 0.2500 0.2500
0.7500 0.7500 0.7500
0.0000 0.0000 0.0000
0.5000 0.5000 0.5000
0.2662 0.2662 0.7338
0.2662 0.7338 0.2662
0.2662 0.7338 0.7338
0.7338 0.2662 0.2662
0.7338 0.2662 0.7338
0.7338 0.7338 0.2662
```

=====

Cs2FeTeI6 | PBE-GGA | relaxed

## Properties
- Crystal system: tetragonal
- Formation energy (no corrections): -59.30 kJ/mol of atoms
- SG: No. 139

Geometry as POSCAR:
```
Cs2FeTeI6
1.0
-4.2794 4.2794 6.0103
4.2794 -4.2794 6.0103
4.2794 4.2794 -6.0103
Cs Fe Te I
2 1 1 6
Direct
0.2500 0.7500 0.5000
0.7500 0.2500 0.5000
0.0000 0.0000 0.0000
0.5000 0.5000 0.0000
0.2267 0.2267 0.4534
0.2267 0.7733 0.0000
0.2480 0.2480 0.0000
0.7520 0.7520 0.0000
0.7733 0.2267 0.0000
0.7733 0.7733 0.5466
```

=====

CsTlFe2I6 | PBE-GGA | relaxed

## Properties
- Crystal system: monoclinic
- Formation energy (no corrections): -47.63 kJ/mol of atoms
- SG: No. 15

Geometry as POSCAR:
```
CsTlFe2I6
1.0
7.9240 -7.3708 0.0000
7.9240 7.3708 0.0000
-2.1536 0.0000 8.0182
Cs Tl Fe I
2 2 4 12
Direct
0.1828 0.8172 0.7500
0.8172 0.1828 0.2500
0.3919 0.6081 0.2500
0.6081 0.3919 0.7500
0.1303 0.2954 0.7559
0.2954 0.1303 0.2559
0.7046 0.8697 0.7441
0.8697 0.7046 0.2441
0.0874 0.5960 0.3267
0.1126 0.1759 0.0057
0.1759 0.1126 0.5057
0.3011 0.4634 0.8320
0.4040 0.9126 0.1733
0.4634 0.3011 0.3320
0.5366 0.6989 0.6680
0.5960 0.0874 0.8267
0.6989 0.5366 0.1680
0.8241 0.8874 0.4943
0.8874 0.8241 0.9943
0.9126 0.4040 0.6733
```

=====

Cs2TlFeI6 | PBE-GGA | relaxed

## Properties
- Crystal system: trigonal
- Formation energy (no corrections): -75.28 kJ/mol of atoms
- SG: No. 164

Geometry as POSCAR:
```
Cs2TlFeI6
1.0
8.3456 0.0000 0.0000
-4.1728 7.2275 0.0000
0.0000 0.0000 8.4119
Cs Tl Fe I
2 1 1 6
Direct
0.3333 0.6667 0.3300
0.6667 0.3333 0.6700
0.0000 0.0000 0.0000
0.0000 0.0000 0.5000
0.1594 0.3188 0.6951
0.1594 0.8406 0.6951
0.3188 0.1594 0.3049
0.6812 0.8406 0.6951
0.8406 0.1594 0.3049
0.8406 0.6812 0.3049
```

=====

Q: What is the formation energy (no corrections) in the first record?
A: -106.92 kJ/mol of atoms